1.
Density functional theory data (PBE) for a relaxed structure of PuInI4.

a = 14.7948 Å, b = 4.6001 Å, c = 8.6721 Å
α = 90.00°, β = 101.04°, γ = 90.00°
Positions (direct):
Pu (0.0000, 0.0000, 0.0000)
Pu (0.5000, 0.5000, 0.0000)
In (0.0000, 0.5000, 0.5000)
In (0.5000, 0.0000, 0.5000)
I (0.1184, 0.5000, 0.8915)
I (0.1220, 0.0000, 0.3275)
I (0.3780, 0.5000, 0.6725)
I (0.3816, 0.0000, 0.1085)
I (0.6184, 0.0000, 0.8915)
I (0.6220, 0.5000, 0.3275)
I (0.8780, 0.0000, 0.6725)
I (0.8816, 0.5000, 0.1085)

Computed properties:
**Uncorrected formation energy**: -0.86 eV/atom
**Raw total energy**: -4.74 eV/atom
**D(E_F)**: 2.27 states/eV/atom



2.
Density functional theory data (PBE) for a relaxed structure of EuAl2In.

a = 4.5072 Å, b = 4.5072 Å, c = 4.4367 Å
α = 90.00°, β = 90.00°, γ = 90.00°
Positions (direct):
Eu (0.0000, 0.0000, 0.0000)
Al (0.0000, 0.5000, 0.5000)
Al (0.5000, 0.0000, 0.5000)
In (0.5000, 0.5000, 0.0000)

Computed properties:
**Raw total energy**: -5.36 eV/atom
**Offset from the most stable computed form**: 0.000 eV per atom
**D(E_F)**: 1.19 states/eV/atom
**ΔE_f**: -0.237 eV per atom